# PuAlCo2O8

Crystalline PuAlCo2O8 at its relaxed geometry (PBE+U, Alexandria via LeMat-Bulk).

**Density of states at the Fermi level**: 0.17 states/eV/atom
**E_tot**: -7.210 eV/atom
**Crystal system**: tetragonal

Lattice parameters (Å, degrees): 6.4027 6.4027 6.7679 90.00 90.00 90.00
With the nearest neighbours (Å) after each atom.
Space group I-4m2 (No. 119)
Inequivalent atoms, fractional coordinates:
Pu: 0.0000 0.0000 0.0000 x2  4 O 1.95
Al: 0.0000 0.5000 0.7500 x2  4 O 1.92
Co: 0.0000 0.0000 0.5000 x2  4 O 1.82
Co: 0.0000 0.5000 0.2500 x2  4 O 1.90
O: 0.0000 0.2094 0.6819 x8  1 Co 1.82, 1 Al 1.92
O: 0.0000 0.3007 0.0416 x8  1 Co 1.90, 1 Pu 1.95